VASP calculation (GGA-PBE) on a relaxed RbInTeC2 crystal.

E ... -14.4 eV per cell
Crystal system ... tetragonal
Formation energy without anion corrections ... 1052 kJ/mol of formula units

Cell: 4.5680 4.5680 6.3688 Å, 90.00 90.00 90.00°
Closest atoms and distances in Å follow each position.
Sites, in units of the cell vectors:
Rb  0.0000  0.0000  0.0000  2 Te 3.18, 4 In 3.23
In  0.5000  0.5000  0.0000  4 Rb 3.23
Te  0.0000  0.0000  0.5000  4 C 2.28
C  0.0000  0.5000  0.5000  2 Te 2.28
C  0.5000  0.0000  0.5000  2 Te 2.28

VASP calculation (GGA-PBE) on a relaxed LiVGeAu crystal.

Energy relative to the elements ... -0.179 eV per atom
E ... -78.6 eV per cell
Crystal system ... cubic

Cell: 6.2688 6.2688 6.2688 Å, 90.00 90.00 90.00°
Closest atoms and distances in Å follow each position.
Sites, in units of the cell vectors:
Li  0.0000  0.0000  0.0000  4 Ge 2.71, 4 Au 2.71
Li  0.0000  0.5000  0.5000  4 Ge 2.71, 4 Au 2.71
Li  0.5000  0.0000  0.5000  4 Ge 2.71, 4 Au 2.71
Li  0.5000  0.5000  0.0000  4 Ge 2.71, 4 Au 2.71
V  0.0000  0.0000  0.5000  4 Ge 2.71, 4 Au 2.71
V  0.0000  0.5000  0.0000  4 Ge 2.71, 4 Au 2.71
V  0.5000  0.0000  0.0000  4 Ge 2.71, 4 Au 2.71
V  0.5000  0.5000  0.5000  4 Ge 2.71, 4 Au 2.71
Ge  0.2500  0.2500  0.7500  4 Li 2.71, 4 V 2.71
Ge  0.2500  0.7500  0.2500  4 Li 2.71, 4 V 2.71
Ge  0.7500  0.2500  0.2500  4 Li 2.71, 4 V 2.71
Ge  0.7500  0.7500  0.7500  4 Li 2.71, 4 V 2.71
Au  0.2500  0.2500  0.2500  4 Li 2.71, 4 V 2.71
Au  0.2500  0.7500  0.7500  4 Li 2.71, 4 V 2.71
Au  0.7500  0.2500  0.7500  4 Li 2.71, 4 V 2.71
Au  0.7500  0.7500  0.2500  4 Li 2.71, 4 V 2.71